(1)
The following is a DFT calculation (PBE) of NaGdHgSe3 after structural relaxation.

Summary:
ΔE to the lowest computed polymorph: 7.1 meV/atom
Volume: 27.5 A^3/atom
Energy: -3.891 eV/atom

Cell: 12.8399 4.1813 12.2757 Å, 90.00 90.00 90.00°
Last column: nearest neighbours and their distance in Å.
Positions (direct):
Gd1 0.9493 0.2500 0.1721  6 Se 2.82-3.05
Gd2 0.4493 0.2500 0.3279  6 Se 2.82-3.05
Gd3 0.5507 0.7500 0.6721  6 Se 2.82-3.05
Gd4 0.0507 0.7500 0.8279  6 Se 2.82-3.05
Hg1 0.2359 0.7500 0.2062  4 Se 2.61-2.76
Hg2 0.7359 0.7500 0.2938  4 Se 2.61-2.76
Hg3 0.2641 0.2500 0.7062  4 Se 2.61-2.76
Hg4 0.7641 0.2500 0.7938  4 Se 2.61-2.76
Na1 0.6330 0.7500 0.0052  5 Se 2.99-3.08
Na2 0.1330 0.7500 0.4948  5 Se 2.99-3.08
Na3 0.8670 0.2500 0.5052  5 Se 2.99-3.08
Na4 0.3670 0.2500 0.9948  5 Se 2.99-3.08
Se1 0.0766 0.7500 0.0747  1 Hg 2.61, 2 Gd 2.91
Se2 0.7306 0.2500 0.1468  2 Hg 2.76, 1 Gd 2.82, 2 Na 2.99
Se3 0.4416 0.7500 0.1570  1 Hg 2.71, 2 Gd 2.96
Se4 0.9416 0.7500 0.3430  1 Hg 2.71, 2 Gd 2.96
Se5 0.2306 0.2500 0.3532  2 Hg 2.76, 1 Gd 2.82, 2 Na 2.99
Se6 0.5766 0.7500 0.4253  1 Hg 2.61, 2 Gd 2.91
Se7 0.4234 0.2500 0.5747  1 Hg 2.61, 2 Gd 2.91
Se8 0.7694 0.7500 0.6468  2 Hg 2.76, 1 Gd 2.82, 2 Na 2.99
Se9 0.0584 0.2500 0.6570  1 Hg 2.71, 2 Gd 2.96
Se10 0.5584 0.2500 0.8430  1 Hg 2.71, 2 Gd 2.96
Se11 0.2694 0.7500 0.8532  2 Hg 2.76, 1 Gd 2.82, 2 Na 2.99
Se12 0.9234 0.2500 0.9253  1 Hg 2.61, 2 Gd 2.91

(2)
The following is a DFT calculation (PBE) of NaGdHgTe3 after structural relaxation.

Summary:
ΔE to the lowest computed polymorph: 0.0 meV/atom
Volume: 32.1 A^3/atom
Energy: -3.489 eV/atom

Cell: 7.7701 7.7701 11.7451 Å, 90.00 90.00 147.09°
Last column: nearest neighbours and their distance in Å.
Positions (direct):
Gd1 0.0000 0.0000 0.0000  6 Te 3.13-3.25
Gd2 0.0000 0.0000 0.5000  6 Te 3.13-3.25
Hg1 0.5325 0.4675 0.2500  4 Te 2.82-2.89
Hg2 0.4675 0.5325 0.7500  4 Te 2.82-2.89
Na1 0.2279 0.7721 0.2500  6 Te 3.42-3.46, 2 Hg 3.65
Na2 0.7721 0.2279 0.7500  6 Te 3.42-3.46, 2 Hg 3.65
Te1 0.6431 0.3569 0.0549  1 Hg 2.82, 2 Gd 3.13
Te2 0.9068 0.0932 0.2500  2 Hg 2.89
Te3 0.6431 0.3569 0.4451  1 Hg 2.82, 2 Gd 3.13
Te4 0.3569 0.6431 0.5549  1 Hg 2.82, 2 Gd 3.13
Te5 0.0932 0.9068 0.7500  2 Hg 2.89
Te6 0.3569 0.6431 0.9451  1 Hg 2.82, 2 Gd 3.13

(3)
The following is a DFT calculation (PBE) of NaGdHgTe3 after structural relaxation.

Summary:
ΔE to the lowest computed polymorph: 5.5 meV/atom
Volume: 33.0 A^3/atom
Energy: -3.483 eV/atom

Cell: 14.8430 4.4341 12.0264 Å, 90.00 90.00 90.00°
Last column: nearest neighbours and their distance in Å.
Positions (direct):
Gd1 0.0142 0.2500 0.1572  6 Te 3.08-3.28
Gd2 0.5142 0.2500 0.3428  6 Te 3.08-3.28
Gd3 0.4858 0.7500 0.6572  6 Te 3.08-3.28
Gd4 0.9858 0.7500 0.8428  6 Te 3.08-3.28
Hg1 0.5104 0.7500 0.1036  4 Te 2.81-3.10
Hg2 0.0104 0.7500 0.3964  4 Te 2.81-3.10
Hg3 0.9896 0.2500 0.6036  4 Te 2.81-3.10
Hg4 0.4896 0.2500 0.8964  4 Te 2.81-3.10
Na1 0.7299 0.2500 0.0769  4 Te 3.22-3.35
Na2 0.2299 0.2500 0.4231  4 Te 3.22-3.35
Na3 0.7701 0.7500 0.5769  4 Te 3.22-3.35
Na4 0.2701 0.7500 0.9231  4 Te 3.22-3.35
Te1 0.8875 0.7500 0.0684  3 Gd 3.08-3.10, 2 Na 3.22
Te2 0.3858 0.2500 0.1205  3 Hg 2.89-3.10
Te3 0.1499 0.7500 0.2388  1 Hg 2.81
Te4 0.6499 0.7500 0.2612  1 Hg 2.81
Te5 0.8858 0.2500 0.3795  3 Hg 2.89-3.10
Te6 0.3875 0.7500 0.4316  3 Gd 3.08-3.10, 2 Na 3.22
Te7 0.6125 0.2500 0.5684  3 Gd 3.08-3.10, 2 Na 3.22
Te8 0.1142 0.7500 0.6205  3 Hg 2.89-3.10
Te9 0.3501 0.2500 0.7388  1 Hg 2.81
Te10 0.8501 0.2500 0.7612  1 Hg 2.81
Te11 0.6142 0.7500 0.8795  3 Hg 2.89-3.10
Te12 0.1125 0.2500 0.9316  3 Gd 3.08-3.10, 2 Na 3.22